Entry 1:
Compound: Li4Mg2Cd
Source: the Alexandria database
Functional: PBE
Structure: optimized geometry

Lattice parameters (Å, degrees): 5.148 5.148 10.238 101.23 101.23 33.01
Fractional positions:
Li (0.084, 0.084, 0.266)
Li (0.204, 0.204, 0.872)
Li (0.796, 0.796, 0.128)
Li (0.916, 0.916, 0.734)
Mg (0.150, 0.150, 0.577)
Mg (0.850, 0.850, 0.423)
Cd (0.500, 0.500, 0.000)

Output
- relative energy among the computed polymorphs (meV per atom) = 0
- total energy (eV per formula unit) = -12.1
- total magnetic moment (μB/cell) = 0.00
- Fermi-level density of states (states/eV/f.u.) = 2.81
- E_form (kcal/mol of atoms) = -1.2
- calculated volume (Å³ per cell) = 145

---

Entry 2:
Compound: La3Tb4Nd3
Source: the Alexandria database
Functional: PBE
Structure: optimized geometry

Lattice parameters (Å, degrees): 3.699 9.792 9.792 90.04 90.00 90.00
Fractional positions:
La (0.000, 0.000, 0.000)
La (0.500, 0.175, 0.673)
La (0.500, 0.673, 0.175)
Tb (0.500, 0.054, 0.299)
Tb (0.500, 0.299, 0.054)
Tb (0.500, 0.552, 0.552)
Tb (0.500, 0.796, 0.796)
Nd (0.000, 0.350, 0.350)
Nd (0.000, 0.500, 0.849)
Nd (0.000, 0.849, 0.500)

Output
- total energy (eV per formula unit) = -46.7
- total magnetic moment (μB/cell) = 0.42
- Fermi-level density of states (states/eV/f.u.) = 11.73
- E_form (kcal/mol of atoms) = 2.0
- calculated volume (Å³ per cell) = 355

---

Entry 3:
Compound: K3Pt6Pb5
Source: the Alexandria database
Functional: PBE
Structure: optimized geometry

Lattice parameters (Å, degrees): 9.063 9.063 9.063 149.94 102.85 84.96
Fractional positions:
K (0.000, 0.000, 0.000)
K (0.305, 0.305, 0.000)
K (0.695, 0.695, 0.000)
Pt (0.172, 0.892, 0.280)
Pt (0.313, 0.500, 0.813)
Pt (0.388, 0.108, 0.280)
Pt (0.612, 0.892, 0.720)
Pt (0.687, 0.500, 0.187)
Pt (0.828, 0.108, 0.720)
Pb (0.009, 0.678, 0.331)
Pb (0.347, 0.678, 0.669)
Pb (0.500, 0.000, 0.500)
Pb (0.653, 0.322, 0.331)
Pb (0.991, 0.322, 0.669)

Output
- total energy (eV per formula unit) = -61.8
- total magnetic moment (μB/cell) = 0.00
- Fermi-level density of states (states/eV/f.u.) = 6.19
- E_form (kcal/mol of atoms) = -6.1
- calculated volume (Å³ per cell) = 355

---

Entry 4:
Compound: AsRu
Source: the Alexandria database
Functional: PBE
Structure: optimized geometry

Lattice parameters (Å, degrees): 3.940 3.940 6.143 90.00 90.00 120.00
Fractional positions:
As (0.333, 0.667, 0.000)
As (0.667, 0.333, 0.500)
Ru (0.333, 0.667, 0.387)
Ru (0.667, 0.333, 0.887)

Output
- total energy (eV per formula unit) = -13.6
- total magnetic moment (μB/cell) = 0.00
- Fermi-level density of states (states/eV/f.u.) = 1.10
- E_form (kcal/mol of atoms) = 4.2
- calculated volume (Å³ per cell) = 83

---

Entry 5:
Compound: Sm3Zn8In3
Source: the Alexandria database
Functional: PBE
Structure: optimized geometry

Lattice parameters (Å, degrees): 8.534 8.534 8.534 150.04 109.34 78.61
Fractional positions:
Sm (0.000, 0.000, 0.000)
Sm (0.304, 0.304, 0.000)
Sm (0.696, 0.696, 0.000)
Zn (0.041, 0.666, 0.374)
Zn (0.109, 0.846, 0.264)
Zn (0.292, 0.666, 0.626)
Zn (0.418, 0.154, 0.264)
Zn (0.582, 0.846, 0.736)
Zn (0.708, 0.334, 0.374)
Zn (0.891, 0.154, 0.736)
Zn (0.959, 0.334, 0.626)
In (0.280, 0.500, 0.780)
In (0.500, 0.000, 0.500)
In (0.720, 0.500, 0.220)

Output
- total energy (eV per formula unit) = -37.4
- total magnetic moment (μB/cell) = 0.00
- Fermi-level density of states (states/eV/f.u.) = 5.31
- E_form (kcal/mol of atoms) = -7.9
- calculated volume (Å³ per cell) = 288

---

Entry 6:
Compound: Th2PaAu
Source: the Alexandria database
Functional: PBE
Structure: optimized geometry

Lattice parameters (Å, degrees): 11.597 11.597 11.597 16.56 16.56 16.56
Fractional positions:
Th (0.093, 0.093, 0.093)
Th (0.907, 0.907, 0.907)
Pa (0.000, 0.000, 0.000)
Au (0.500, 0.500, 0.500)

Output
- relative energy among the computed polymorphs (meV per atom) = 388
- total energy (eV per formula unit) = -26.9
- total magnetic moment (μB/cell) = 0.00
- Fermi-level density of states (states/eV/f.u.) = 6.29
- E_form (kcal/mol of atoms) = 3.9
- calculated volume (Å³ per cell) = 110